(1)
Density functional theory data (PBE) for a relaxed structure of DyTmMnAl.

As for the energy of formation: -84.2 meV per atom.

The space group is F-43m (No. 216) and the conventional cell measures 7.1268, 7.1268 and 7.1268 Å, with angles of 90.00, 90.00 and 90.00 degrees. The inequivalent atoms are Dy at (0.0000, 0.0000, 0.0000), Tm at (0.0000, 0.0000, 0.5000), Mn at (0.2500, 0.2500, 0.7500) and Al at (0.2500, 0.2500, 0.2500).

=====

(2)
Density functional theory data (PBE) for a relaxed structure of DyAl2Mo.

As for the energy of formation: 74.9 meV per atom.

The space group is R-3m (No. 166, hexagonal axes) and the conventional cell measures 3.0217, 3.0217 and 29.0617 Å, with angles of 90.00, 90.00 and 120.00 degrees. The inequivalent atoms are Dy at (0.0000, 0.0000, 0.0000), Al at (0.0000, 0.0000, 0.2395) and Mo at (0.0000, 0.0000, 0.5000).

=====

(3)
Density functional theory data (PBE) for a relaxed structure of DyAl4Mo.

As for the energy of formation: -241.9 meV per atom.

The space group is F-43m (No. 216) and the conventional cell measures 7.4622, 7.4622 and 7.4622 Å, with angles of 90.00, 90.00 and 90.00 degrees. The inequivalent atoms are Dy at (0.0000, 0.0000, 0.0000), Al at (0.1249, 0.1249, 0.6249) and Mo at (0.2500, 0.2500, 0.2500).

=====

(4)
Density functional theory data (PBE) for a relaxed structure of DyAlN2.

The formation energy from raw total energies is -0.903 eV per atom.

The space group is R-3m (No. 166, hexagonal axes) and the conventional cell measures 3.6389, 3.6389 and 17.4031 Å, with angles of 90.00, 90.00 and 120.00 degrees. The inequivalent atoms are Dy at (0.0000, 0.0000, 0.0000), Al at (0.0000, 0.0000, 0.5000) and N at (0.0000, 0.0000, 0.4002).

=====

(5)
Density functional theory data (PBE) for a relaxed structure of Dy2AlN.

The formation energy from raw total energies is -0.921 eV per atom.

The space group is R-3m (No. 166, hexagonal axes) and the conventional cell measures 3.5001, 3.5001 and 22.8512 Å, with angles of 90.00, 90.00 and 120.00 degrees. The inequivalent atoms are Dy at (0.0000, 0.0000, 0.2262), Al at (0.0000, 0.0000, 0.0000) and N at (0.0000, 0.0000, 0.5000).

=====

(6)
Density functional theory data (PBE) for a relaxed structure of Dy3AlN.

The formation energy from raw total energies is -0.919 eV per atom.

The space group is Pm-3m (No. 221) and the conventional cell measures 4.7749, 4.7749 and 4.7749 Å, with angles of 90.00, 90.00 and 90.00 degrees. The inequivalent atoms are Dy at (0.0000, 0.0000, 0.5000), Al at (0.5000, 0.5000, 0.5000) and N at (0.0000, 0.0000, 0.0000).

=====

(7)
Density functional theory data (PBE) for a relaxed structure of NdDy2AlN.

The formation energy from raw total energies is -0.852 eV per atom.

The space group is P4/mmm (No. 123) and the conventional cell measures 4.7866, 4.7866 and 4.9873 Å, with angles of 90.00, 90.00 and 90.00 degrees. The inequivalent atoms are Nd at (0.0000, 0.0000, 0.0000), Dy at (0.0000, 0.5000, 0.5000), Al at (0.5000, 0.5000, 0.0000) and N at (0.0000, 0.0000, 0.5000).

=====

(8)
Density functional theory data (PBE) for a relaxed structure of Dy6Al2NO.

The formation energy from raw total energies is -1.158 eV per atom.

The space group is Fm-3m (No. 225) and the conventional cell measures 9.4950, 9.4950 and 9.4950 Å, with angles of 90.00, 90.00 and 90.00 degrees. The inequivalent atoms are Dy at (0.0000, 0.0000, 0.2478), Al at (0.2500, 0.2500, 0.2500), N at (0.0000, 0.0000, 0.0000) and O at (0.0000, 0.0000, 0.5000).

=====

(9)
Density functional theory data (PBE) for a relaxed structure of DyPa2AlN5.

The formation energy from raw total energies is -1.429 eV per atom.

The space group is Cmc2_1 (No. 36) and the conventional cell measures 3.4358, 13.6095 and 10.8327 Å, with angles of 90.00, 90.00 and 90.00 degrees. The inequivalent atoms are Dy at (0.0000, 0.2149, 0.0000), Pa at (0.0000, 0.1249, 0.2669), Pa at (0.0000, 0.1365, 0.7150), Al at (0.0000, 0.4975, 0.0055), N at (0.0000, 0.0461, 0.0672), N at (0.0000, 0.2893, 0.3433), N at (0.0000, 0.2934, 0.6604), N at (0.0000, 0.3710, 0.0798) and N at (0.0000, 0.4772, 0.8269).

=====

(10)
Density functional theory data (PBE) for a relaxed structure of PmDy2AlN.

The formation energy from raw total energies is -0.870 eV per atom.

The space group is P4/mmm (No. 123) and the conventional cell measures 4.7830, 4.7830 and 4.9424 Å, with angles of 90.00, 90.00 and 90.00 degrees. The inequivalent atoms are Pm at (0.0000, 0.0000, 0.0000), Dy at (0.0000, 0.5000, 0.5000), Al at (0.5000, 0.5000, 0.0000) and N at (0.0000, 0.0000, 0.5000).

=====

(11)
Density functional theory data (PBE) for a relaxed structure of Dy2ScAlN.

The formation energy from raw total energies is -0.957 eV per atom.

The space group is P4/mmm (No. 123) and the conventional cell measures 4.7761, 4.7761 and 4.4458 Å, with angles of 90.00, 90.00 and 90.00 degrees. The inequivalent atoms are Dy at (0.0000, 0.5000, 0.0000), Sc at (0.0000, 0.0000, 0.5000), Al at (0.5000, 0.5000, 0.5000) and N at (0.0000, 0.0000, 0.0000).

=====

(12)
Density functional theory data (PBE) for a relaxed structure of TbDy2AlN.

The formation energy from raw total energies is -0.913 eV per atom.

The space group is P4/mmm (No. 123) and the conventional cell measures 4.7755, 4.7755 and 4.8047 Å, with angles of 90.00, 90.00 and 90.00 degrees. The inequivalent atoms are Tb at (0.0000, 0.0000, 0.0000), Dy at (0.0000, 0.5000, 0.5000), Al at (0.5000, 0.5000, 0.0000) and N at (0.0000, 0.0000, 0.5000).

=====

(13)
Density functional theory data (PBE) for a relaxed structure of DyY2AlN.

The formation energy from raw total energies is -0.927 eV per atom.

The space group is P4/mmm (No. 123) and the conventional cell measures 4.7851, 4.7851 and 4.7781 Å, with angles of 90.00, 90.00 and 90.00 degrees. The inequivalent atoms are Dy at (0.0000, 0.0000, 0.0000), Y at (0.0000, 0.5000, 0.5000), Al at (0.5000, 0.5000, 0.0000) and N at (0.0000, 0.0000, 0.5000).

=====

(14)
Density functional theory data (PBE) for a relaxed structure of Dy2YAlN.

The formation energy from raw total energies is -0.923 eV per atom.

The space group is P4/mmm (No. 123) and the conventional cell measures 4.7764, 4.7764 and 4.7838 Å, with angles of 90.00, 90.00 and 90.00 degrees. The inequivalent atoms are Dy at (0.0000, 0.5000, 0.0000), Y at (0.0000, 0.0000, 0.5000), Al at (0.5000, 0.5000, 0.5000) and N at (0.0000, 0.0000, 0.0000).

=====

(15)
Density functional theory data (PBE) for a relaxed structure of NaDy2Al.

As for the energy of formation: -67.3 meV per atom.

The space group is P4/mmm (No. 123) and the conventional cell measures 3.5207, 3.5207 and 9.1702 Å, with angles of 90.00, 90.00 and 90.00 degrees. The inequivalent atoms are Na at (0.0000, 0.0000, 0.0000), Dy at (0.5000, 0.5000, 0.3000) and Al at (0.0000, 0.0000, 0.5000).

=====

(16)
Density functional theory data (PBE) for a relaxed structure of NaDyAl.

As for the energy of formation: 93.1 meV per atom.

The space group is Fmmm (No. 69) and the conventional cell measures 6.2601, 10.1064 and 10.9398 Å, with angles of 90.00, 90.00 and 90.00 degrees. The inequivalent atoms are Na at (0.0000, 0.1608, 0.0000), Dy at (0.0000, 0.0000, 0.3234) and Al at (0.2500, 0.2500, 0.2500).

=====

(17)
Density functional theory data (PBE) for a relaxed structure of NaDy2Al.

As for the energy of formation: 74.4 meV per atom.

The space group is R-3m (No. 166, hexagonal axes) and the conventional cell measures 3.5157, 3.5157 and 34.6541 Å, with angles of 90.00, 90.00 and 120.00 degrees. The inequivalent atoms are Na at (0.0000, 0.0000, 0.0000), Dy at (0.0000, 0.0000, 0.1026) and Al at (0.0000, 0.0000, 0.5000).

=====

(18)
Density functional theory data (PBE) for a relaxed structure of NaDy2Al.

As for the energy of formation: -33.9 meV per atom.

The space group is Fm-3m (No. 225) and the conventional cell measures 7.4718, 7.4718 and 7.4718 Å, with angles of 90.00, 90.00 and 90.00 degrees. The inequivalent atoms are Na at (0.0000, 0.0000, 0.0000), Dy at (0.2500, 0.2500, 0.2500) and Al at (0.0000, 0.0000, 0.5000).

=====

(19)
Density functional theory data (PBE) for a relaxed structure of NaNdDyAl.

As for the energy of formation: -44.4 meV per atom.

The space group is F-43m (No. 216) and the conventional cell measures 7.5841, 7.5841 and 7.5841 Å, with angles of 90.00, 90.00 and 90.00 degrees. The inequivalent atoms are Na at (0.0000, 0.0000, 0.0000), Nd at (0.2500, 0.2500, 0.7500), Dy at (0.2500, 0.2500, 0.2500) and Al at (0.0000, 0.0000, 0.5000).

=====

(20)
Density functional theory data (PBE) for a relaxed structure of Na2DyAlO4.

The formation energy from raw total energies is -2.520 eV per atom.

The space group is P2/m (No. 10) and the conventional cell measures 5.5001, 3.2072 and 5.8019 Å, with angles of 90.00, 108.81 and 90.00 degrees. The inequivalent atoms are Na at (0.0000, 0.0000, 0.0000), Na at (0.5000, 0.5000, 0.0000), Dy at (0.0000, 0.5000, 0.5000), Al at (0.5000, 0.0000, 0.5000), O at (0.2725, 0.0000, 0.6993) and O at (0.2897, 0.5000, 0.2999).

=====

(21)
Density functional theory data (PBE) for a relaxed structure of Na4Dy3AlO8.

The formation energy from raw total energies is -2.631 eV per atom.

The space group is R-3m (No. 166, hexagonal axes) and the conventional cell measures 6.6233, 6.6233 and 16.6474 Å, with angles of 90.00, 90.00 and 120.00 degrees. The inequivalent atoms are Na at (0.0000, 0.0000, 0.0000), Na at (0.0000, 0.5000, 0.0000), Dy at (0.0000, 0.5000, 0.5000), Al at (0.0000, 0.0000, 0.5000), O at (0.0000, 0.0000, 0.2380) and O at (0.0291, 0.5145, 0.2341).

=====

(22)
Density functional theory data (PBE) for a relaxed structure of Na3Dy3AlO8.

The formation energy from raw total energies is -2.618 eV per atom.

The space group is R-3m (No. 166, hexagonal axes) and the conventional cell measures 6.6556, 6.6556 and 16.6137 Å, with angles of 90.00, 90.00 and 120.00 degrees. The inequivalent atoms are Na at (0.0000, 0.5000, 0.0000), Dy at (0.0000, 0.5000, 0.5000), Al at (0.0000, 0.0000, 0.5000), O at (0.0000, 0.0000, 0.2374) and O at (0.0394, 0.5197, 0.2305).

=====

(23)
Density functional theory data (PBE) for a relaxed structure of Na4Dy3AlS8.

The formation energy from raw total energies is -1.634 eV per atom.

The space group is R-3m (No. 166, hexagonal axes) and the conventional cell measures 7.7892, 7.7892 and 20.0344 Å, with angles of 90.00, 90.00 and 120.00 degrees. The inequivalent atoms are Na at (0.0000, 0.0000, 0.0000), Na at (0.0000, 0.5000, 0.0000), Dy at (0.0000, 0.5000, 0.5000), Al at (0.0000, 0.0000, 0.5000), S at (0.0000, 0.0000, 0.2430) and S at (0.0234, 0.5117, 0.2390).

=====

(24)
Density functional theory data (PBE) for a relaxed structure of Na3Dy3AlS8.

The formation energy from raw total energies is -1.547 eV per atom.

The space group is C2/m (No. 12) and the conventional cell measures 13.4708, 7.7689 and 8.1181 Å, with angles of 90.00, 123.62 and 90.00 degrees. The inequivalent atoms are Na at (0.0000, 0.0000, 0.0000), Na at (0.2500, 0.2500, 0.0000), Dy at (0.0000, 0.5000, 0.5000), Dy at (0.2500, 0.2500, 0.5000), Al at (0.0000, 0.0000, 0.5000), S at (0.0062, 0.2285, 0.2901), S at (0.2224, 0.0000, 0.7099) and S at (0.2429, 0.5000, 0.7285).

=====

(25)
Density functional theory data (PBE) for a relaxed structure of Na3Dy2AlS6.

The formation energy from raw total energies is -1.580 eV per atom.

The space group is C2/m (No. 12) and the conventional cell measures 6.6886, 11.5978 and 7.0379 Å, with angles of 90.00, 108.59 and 90.00 degrees. The inequivalent atoms are Na at (0.0000, 0.0000, 0.0000), Na at (0.0000, 0.3327, 0.0000), Dy at (0.0000, 0.1666, 0.5000), Al at (0.0000, 0.5000, 0.5000), S at (0.2269, 0.3460, 0.7183) and S at (0.2333, 0.5000, 0.2858).

=====

Results for E: -89.290, -67.856, -127.420, -85.817, -74.873, -30.468, -30.298, -239.844, -327.314, -30.374, -32.391, -30.466, -34.235, -32.351, -14.535, -75.075, -41.904, -57.605, -58.437, -50.972, -313.759, -301.339, -245.955, -155.476, -121.248 (in eV/cell, following the order of the records).